Compound: GdTmMgAl
Source: OQMD
Functional: GGA-PBE
Structure: relaxed

a = 5.189 Å, b = 5.189 Å, c = 5.189 Å
α = 60.00°, β = 60.00°, γ = 60.00°
Element x y z (fractional)
Gd 0.000 0.000 0.000
Tm 0.500 0.500 0.500
Mg 0.250 0.250 0.250
Al 0.750 0.750 0.750

Properties
E_tot	-3.8699	eV per atom
total moment	0.0	μB/cell



Compound: ErCdInSe3
Source: OQMD
Functional: GGA-PBE
Structure: relaxed

a = 7.532 Å, b = 7.532 Å, c = 11.019 Å
α = 90.00°, β = 90.00°, γ = 147.65°
Element x y z (fractional)
Er 0.000 0.000 0.000
Er 0.000 0.000 0.500
Cd 0.457 0.543 0.750
Cd 0.543 0.457 0.250
In 0.252 0.748 0.250
In 0.748 0.252 0.750
Se 0.075 0.925 0.750
Se 0.366 0.634 0.544
Se 0.366 0.634 0.956
Se 0.634 0.366 0.044
Se 0.634 0.366 0.456
Se 0.925 0.075 0.250

Properties
E_tot	-4.1090	eV per atom
total moment	0.0	μB/cell



Compound: AcMo
Source: OQMD
Functional: GGA-PBE
Structure: relaxed

a = 3.495 Å, b = 3.495 Å, c = 5.003 Å
α = 90.00°, β = 90.00°, γ = 120.00°
Element x y z (fractional)
Ac 0.000 0.000 0.000
Mo 0.667 0.333 0.500

Properties
E_tot	-6.2213	eV per atom
DFT formation energy	1256	meV per atom
total moment	1.4	μB/cell



Compound: TmTlFe
Source: OQMD
Functional: GGA-PBE
Structure: relaxed

a = 4.806 Å, b = 4.806 Å, c = 4.806 Å
α = 60.00°, β = 60.00°, γ = 60.00°
Element x y z (fractional)
Tm 0.000 0.000 0.000
Tl 0.250 0.250 0.250
Fe 0.750 0.750 0.750

Properties
E_tot	-4.2755	eV per atom
total moment	2.2	μB/cell



Compound: NaThOs
Source: OQMD
Functional: GGA-PBE
Structure: relaxed

a = 4.729 Å, b = 4.729 Å, c = 4.729 Å
α = 60.00°, β = 60.00°, γ = 60.00°
Element x y z (fractional)
Na 0.000 0.000 0.000
Th 0.500 0.500 0.500
Os 0.250 0.250 0.250

Properties
E_tot	-6.2117	eV per atom
total moment	0.0	μB/cell



Compound: SmHoIn2
Source: OQMD
Functional: GGA-PBE
Structure: relaxed

a = 4.336 Å, b = 6.219 Å, c = 6.219 Å
α = 43.36°, β = 90.00°, γ = 90.00°
Element x y z (fractional)
Sm 0.000 0.000 0.000
Ho 0.500 0.723 0.723
In 0.000 0.275 0.275
In 0.500 0.445 0.445

Properties
E_tot	-4.1199	eV per atom
total moment	0.0	μB/cell



Compound: TbErGeCl2
Source: OQMD
Functional: GGA-PBE
Structure: relaxed

a = 4.068 Å, b = 4.068 Å, c = 9.604 Å
α = 90.00°, β = 90.00°, γ = 120.00°
Element x y z (fractional)
Tb 0.000 0.000 0.000
Er 0.333 0.667 0.665
Ge 0.667 0.333 0.830
Cl 0.000 0.000 0.504
Cl 0.333 0.667 0.164

Properties
E_tot	-5.1307	eV per atom
total moment	0.0	μB/cell



Compound: PmAgTe
Source: OQMD
Functional: GGA-PBE
Structure: relaxed

a = 5.132 Å, b = 5.132 Å, c = 5.132 Å
α = 60.00°, β = 60.00°, γ = 60.00°
Element x y z (fractional)
Pm 0.000 0.000 0.000
Ag 0.750 0.750 0.750
Te 0.250 0.250 0.250

Properties
E_tot	-4.1725	eV per atom
total moment	0.0	μB/cell



Compound: SnTe3Au2
Source: OQMD
Functional: GGA-PBE
Structure: relaxed

a = 8.616 Å, b = 8.616 Å, c = 9.351 Å
α = 90.00°, β = 90.00°, γ = 152.18°
Element x y z (fractional)
Sn 0.241 0.759 0.750
Sn 0.759 0.241 0.250
Te 0.085 0.915 0.250
Te 0.345 0.655 0.055
Te 0.345 0.655 0.445
Te 0.655 0.345 0.555
Te 0.655 0.345 0.945
Te 0.915 0.085 0.750
Au 0.000 0.000 0.000
Au 0.000 0.000 0.500
Au 0.470 0.530 0.250
Au 0.530 0.470 0.750

Properties
E_tot	-3.2971	eV per atom



Compound: TlAu3Se5
Source: OQMD
Functional: GGA-PBE
Structure: relaxed

a = 5.621 Å, b = 5.621 Å, c = 8.187 Å
α = 90.00°, β = 90.00°, γ = 120.00°
Element x y z (fractional)
Tl 0.000 0.000 0.000
Au 0.000 0.500 0.500
Au 0.500 0.000 0.500
Au 0.500 0.500 0.500
Se 0.000 0.000 0.500
Se 0.333 0.667 0.138
Se 0.333 0.667 0.862
Se 0.667 0.333 0.138
Se 0.667 0.333 0.862

Properties
E_tot	-3.1686	eV per atom



Compound: TaCuAsOs
Source: OQMD
Functional: GGA-PBE
Structure: relaxed

a = 4.439 Å, b = 4.439 Å, c = 4.439 Å
α = 60.00°, β = 60.00°, γ = 60.00°
Element x y z (fractional)
Ta 0.000 0.000 0.000
Cu 0.750 0.750 0.750
As 0.500 0.500 0.500
Os 0.250 0.250 0.250

Properties
E_tot	-7.6935	eV per atom
total moment	0.0	μB/cell



Compound: MgInAgPd
Source: OQMD
Functional: GGA-PBE
Structure: relaxed

a = 4.681 Å, b = 4.681 Å, c = 4.681 Å
α = 120.22°, β = 120.22°, γ = 89.62°
Element x y z (fractional)
Mg 0.000 0.000 0.000
In 0.500 0.500 0.000
Ag 0.750 0.250 0.500
Pd 0.250 0.750 0.500

Properties
E_tot	-3.4943	eV per atom